This record from Alexandria via LeMat-Bulk describes a relaxed structure of LiSn2Pb3. The functional is GGA-PBE.

Cell lengths 5.7552, 5.8209, 5.8760 Å; angles 119.69, 90.00, 90.00 degrees
With the nearest neighbours (Å) after each atom.
Element x y z (fractional)
Pb: 0.5000 0.8372 0.6743  2 Sn 3.29, 2 Li 3.32, 6 Pb 3.33-3.44
Pb: 0.5000 0.5000 0.0000  6 Pb 3.35-3.44, 4 Sn 3.42
Pb: 0.5000 0.1628 0.3257  2 Sn 3.29, 2 Li 3.32, 6 Pb 3.33-3.44
Sn: 0.0000 0.6810 0.3620  2 Sn 3.23, 3 Li 3.26-3.45, 4 Pb 3.29-3.42
Sn: 0.0000 0.3190 0.6380  2 Sn 3.23, 3 Li 3.26-3.45, 4 Pb 3.29-3.42
Li: 0.0000 0.0000 0.0000  6 Sn 3.26-3.45, 4 Pb 3.32

Spin magnetization = 0.0 Bohr magnetons per cell
E_form = -0.020 eV per atom
Space-group type = No. 65